(1)
Entry from Alexandria via LeMat-Bulk: crystalline Sc2Mn2Re at its relaxed geometry (PBE).

- total DFT energy (no corrections) (eV per atom) = -8.723
- symmetry = P4/mbm (127)
- Fermi-level density of states (states/eV/f.u.) = 6.85
- formation enthalpy at 0 K (meV/atom) = -32.5

Cell and atoms, written as POSCAR:
```
Sc2Mn2Re
1.0
6.082 0.000 0.000
0.000 6.082 0.000
0.000 0.000 4.416
Mn Sc Re
4 4 2
Direct
0.124 0.376 0.000
0.876 0.624 0.000
0.376 0.876 0.000
0.624 0.124 0.000
0.180 0.680 0.500
0.320 0.180 0.500
0.820 0.320 0.500
0.680 0.820 0.500
0.500 0.500 0.000
0.000 0.000 0.000
```

=====

(2)
Entry from Alexandria via LeMat-Bulk: crystalline ScMn2Re at its relaxed geometry (PBE).

- total DFT energy (no corrections) (eV per atom) = -9.143
- symmetry = Pm (6)
- Fermi-level density of states (states/eV/f.u.) = 3.79
- formation enthalpy at 0 K (meV/atom) = 136.9

Cell and atoms, written as POSCAR:
```
ScMn2Re
1.0
4.309 0.000 0.000
0.000 2.716 -0.030
0.000 0.917 4.923
Mn Sc Re
2 1 1
Direct
0.500 0.242 0.260
0.000 0.043 0.997
0.500 0.743 0.763
0.000 0.473 0.480
```

=====

(3)
Entry from Alexandria via LeMat-Bulk: crystalline Sc4MnRe at its relaxed geometry (PBE).

- total DFT energy (no corrections) (eV per atom) = -7.136
- symmetry = F-43m (216)
- Fermi-level density of states (states/eV/f.u.) = 9.97
- formation enthalpy at 0 K (meV/atom) = 687.9

Cell and atoms, written as POSCAR:
```
Sc4MnRe
1.0
0.000 3.891 3.891
3.891 0.000 3.891
3.891 3.891 0.000
Sc Re Mn
4 1 1
Direct
0.374 0.878 0.374
0.878 0.374 0.374
0.374 0.374 0.878
0.374 0.374 0.374
0.000 0.000 0.000
0.750 0.750 0.750
```

=====

(4)
Entry from Alexandria via LeMat-Bulk: crystalline ScMn2Re at its relaxed geometry (PBE).

- total DFT energy (no corrections) (eV per atom) = -9.100
- symmetry = C2/m (12)
- Fermi-level density of states (states/eV/f.u.) = 5.35
- formation enthalpy at 0 K (meV/atom) = 179.3

Cell and atoms, written as POSCAR:
```
ScMn2Re
1.0
-3.377 -1.705 -3.521
3.824 -2.846 1.160
-1.232 -1.923 1.426
Sc Re Mn
1 1 2
Direct
0.500 0.500 0.000
0.000 0.500 0.500
0.500 0.000 0.500
0.000 0.000 0.000
```

=====

(5)
Entry from Alexandria via LeMat-Bulk: crystalline ScMn8Re3 at its relaxed geometry (PBE).

- total DFT energy (no corrections) (eV per atom) = -9.834
- symmetry = P3m1 (156)
- Fermi-level density of states (states/eV/f.u.) = 16.16
- formation enthalpy at 0 K (meV/atom) = -81.7

Cell and atoms, written as POSCAR:
```
ScMn8Re3
1.0
4.708 0.000 0.000
-2.354 4.077 0.000
0.000 0.000 7.745
Re Mn Sc
3 8 1
Direct
0.667 0.333 0.065
0.667 0.333 0.424
0.000 0.000 0.941
0.506 0.012 0.753
0.506 0.494 0.753
0.162 0.838 0.247
0.988 0.494 0.753
0.333 0.667 0.506
0.333 0.667 0.004
0.162 0.324 0.247
0.676 0.838 0.247
0.000 0.000 0.562
```

=====

(6)
Entry from Alexandria via LeMat-Bulk: crystalline ScMn2Re at its relaxed geometry (PBE).

- total DFT energy (no corrections) (eV per atom) = -9.254
- symmetry = P4/mmm (123)
- Fermi-level density of states (states/eV/f.u.) = 2.73
- formation enthalpy at 0 K (meV/atom) = 25.9

Cell and atoms, written as POSCAR:
```
ScMn2Re
1.0
-2.473 -3.493 -0.004
1.387 -0.977 -3.929
2.243 -1.589 1.187
Mn Sc Re
2 1 1
Direct
0.500 0.500 0.000
0.000 0.000 0.000
0.000 0.500 0.500
0.500 0.000 0.500
```

=====

(7)
Entry from Alexandria via LeMat-Bulk: crystalline ScMn5Re at its relaxed geometry (PBE).

- total DFT energy (no corrections) (eV per atom) = -9.332
- symmetry = Pnma (62)
- Fermi-level density of states (states/eV/f.u.) = 6.93
- formation enthalpy at 0 K (meV/atom) = -99.7

Cell and atoms, written as POSCAR:
```
ScMn5Re
1.0
4.717 0.000 0.000
0.000 7.914 0.000
0.000 0.000 9.940
Mn Sc Re
20 4 4
Direct
0.250 0.088 0.475
0.509 0.929 0.310
0.250 0.447 0.411
0.509 0.429 0.190
0.750 0.807 0.751
0.750 0.912 0.525
0.009 0.071 0.690
0.009 0.571 0.810
0.250 0.193 0.249
0.991 0.429 0.190
0.250 0.947 0.089
0.491 0.571 0.810
0.750 0.553 0.589
0.750 0.053 0.911
0.750 0.412 0.975
0.991 0.929 0.310
0.750 0.307 0.749
0.250 0.588 0.025
0.491 0.071 0.690
0.250 0.693 0.251
0.750 0.753 0.061
0.250 0.247 0.939
0.750 0.253 0.439
0.250 0.747 0.561
0.250 0.363 0.648
0.750 0.137 0.148
0.750 0.637 0.352
0.250 0.863 0.852
```

=====

(8)
Entry from Alexandria via LeMat-Bulk: crystalline ScMn2Re at its relaxed geometry (PBE).

- total DFT energy (no corrections) (eV per atom) = -8.935
- symmetry = R-3m (166)
- Fermi-level density of states (states/eV/f.u.) = 5.80
- formation enthalpy at 0 K (meV/atom) = 344.3

Cell and atoms, written as POSCAR:
```
ScMn2Re
1.0
-3.668 -3.172 -7.258
-1.800 -5.242 -6.744
-4.327 -5.262 -5.458
Sc Mn Re
1 2 1
Direct
0.750 0.750 0.750
0.994 0.994 0.994
0.506 0.506 0.506
0.250 0.250 0.250
```

=====

(9)
Entry from Alexandria via LeMat-Bulk: crystalline ScMn2Re at its relaxed geometry (PBE).

- total DFT energy (no corrections) (eV per atom) = -9.097
- symmetry = F-43m (216)
- Fermi-level density of states (states/eV/f.u.) = 3.66
- formation enthalpy at 0 K (meV/atom) = 182.9

Cell and atoms, written as POSCAR:
```
ScMn2Re
1.0
4.357 0.000 0.000
2.178 3.773 0.000
2.178 1.258 3.557
Mn Sc Re
2 1 1
Direct
0.000 0.000 0.000
0.250 0.250 0.250
0.750 0.750 0.750
0.500 0.500 0.500
```

=====

(10)
Entry from Alexandria via LeMat-Bulk: crystalline ScMn6Re2 at its relaxed geometry (PBE).

- total DFT energy (no corrections) (eV per atom) = -9.323
- symmetry = C2/m (12)
- Fermi-level density of states (states/eV/f.u.) = 14.40
- formation enthalpy at 0 K (meV/atom) = 260.1

Cell and atoms, written as POSCAR:
```
ScMn6Re2
1.0
2.687 -0.008 -0.522
-0.608 5.806 -3.215
0.015 0.282 7.414
Mn Sc Re
6 1 2
Direct
0.318 0.649 0.637
0.682 0.351 0.363
0.500 0.336 0.000
0.500 0.664 0.000
0.682 0.012 0.363
0.318 0.988 0.637
0.000 0.000 0.000
0.854 0.357 0.713
0.146 0.643 0.287
```

=====

(11)
Entry from Alexandria via LeMat-Bulk: crystalline Sc2MnReSn at its relaxed geometry (PBE).

- total DFT energy (no corrections) (eV per atom) = -7.340
- symmetry = P4/mmm (123)
- Fermi-level density of states (states/eV/f.u.) = 4.58
- formation enthalpy at 0 K (meV/atom) = 316.8

Cell and atoms, written as POSCAR:
```
Sc2MnReSn
1.0
-1.592 3.860 2.407
-1.420 -2.619 3.260
4.277 0.401 2.185
Mn Sc Sn Re
1 2 1 1
Direct
0.000 0.000 0.000
0.500 0.000 0.000
0.000 0.000 0.500
0.500 0.500 0.500
0.000 0.500 0.000
```

=====

(12)
Entry from Alexandria via LeMat-Bulk: crystalline Sr2ScMnRe at its relaxed geometry (PBE).

- total DFT energy (no corrections) (eV per atom) = -4.346
- symmetry = P4/mmm (123)
- Fermi-level density of states (states/eV/f.u.) = 14.54
- formation enthalpy at 0 K (meV/atom) = 1916.7

Cell and atoms, written as POSCAR:
```
Sr2ScMnRe
1.0
-2.406 5.148 2.055
-3.637 -0.623 -2.697
-2.758 -3.054 4.425
Sc Sr Re Mn
1 2 1 1
Direct
0.000 0.000 0.000
0.000 0.000 0.500
0.500 0.000 0.000
0.000 0.500 0.000
0.500 0.500 0.500
```

=====

What is the formation enthalpy at 0 K in the seventh record?
-99.7 meV/atom